The following is a DFT calculation (PBE) of crystalline Tc3C5 at its relaxed geometry.

Unit cell a=5.7008 b=5.7008 c=5.7431 alpha=90.00 beta=90.00 gamma=120.00
Space group P6_3/mcm (No. 193)
Asymmetric unit:
Tc1 0.0000 0.4866 0.2500 (multiplicity 6)
C1 0.0000 0.1446 0.2500 (multiplicity 6)
C2 0.3333 0.6667 0.0000 (multiplicity 4)

Properties
- energy above the most stable polymorph in this dataset (meV/atom) = 0
- energy of formation (eV per formula unit) = 5.73
- spin magnetization (μB/cell) = 0.000
- calculated total energy (eV/atom) = -8.935

The following is a DFT calculation (PBE) of crystalline TcC3 at its relaxed geometry.

Unit cell a=3.2279 b=3.2279 c=3.2279 alpha=90.00 beta=90.00 gamma=90.00
Space group Pm-3m (No. 221)
Asymmetric unit:
Tc1 0.0000 0.0000 0.0000 (multiplicity 1)
C1 0.0000 0.5000 0.5000 (multiplicity 3)

Properties
- energy above the most stable polymorph in this dataset (meV/atom) = 1989
- energy of formation (eV per formula unit) = 11.08
- spin magnetization (μB/cell) = 0.000
- calculated total energy (eV/atom) = -6.739

The following is a DFT calculation (PBE) of crystalline Tc3C4 at its relaxed geometry.

Unit cell a=4.6718 b=4.6718 c=4.6718 alpha=90.00 beta=90.00 gamma=90.00
Space group P-43m (No. 215)
Asymmetric unit:
Tc1 0.0000 0.0000 0.5000 (multiplicity 3)
C1 0.2189 0.2189 0.2189 (multiplicity 4)

Properties
- energy above the most stable polymorph in this dataset (meV/atom) = 100
- energy of formation (eV per formula unit) = 6.94
- spin magnetization (μB/cell) = 0.237
- calculated total energy (eV/atom) = -8.722

The following is a DFT calculation (PBE) of crystalline TcC at its relaxed geometry.

Unit cell a=2.6774 b=2.6774 c=2.6774 alpha=90.00 beta=90.00 gamma=90.00
Space group Pm-3m (No. 221)
Asymmetric unit:
Tc1 0.0000 0.0000 0.0000 (multiplicity 1)
C1 0.5000 0.5000 0.5000 (multiplicity 1)

Properties
- energy above the most stable polymorph in this dataset (meV/atom) = 671
- energy of formation (eV per formula unit) = 1.78
- spin magnetization (μB/cell) = 0.000
- calculated total energy (eV/atom) = -8.904

- Among the records above, which one has the highest energy of formation?
  TcC3

- Look up the spin magnetization of the fourth one.
  0.000 μB/cell

- Which formula does entry 1 have?
  Tc3C5

- What is the formula in the fourth record?
  TcC